The following is a PBEsol calculation of W2AuF after structural relaxation, from Alexandria.

Summary:
space group: Fm-3m (225)
E: -7.874 eV per atom

a = 4.341 Å, b = 4.341 Å, c = 4.341 Å
α = 60.00°, β = 60.00°, γ = 60.00°
Positions (direct):
W (0.750, 0.750, 0.750)
F (0.000, 0.000, 0.000)
Au (0.500, 0.500, 0.500)
W (0.250, 0.250, 0.250)